# CsTePt | the Alexandria database | PBE | relaxed
data_CsTePt
_space_group_name_H-M_alt 'C 1 2/c 1'
_space_group_IT_number 15
_space_group_name_Hall '-C 2yc'
_cell_length_a 7.044
_cell_length_b 6.977
_cell_length_c 10.650
_cell_angle_alpha 90.00
_cell_angle_beta 90.17
_cell_angle_gamma 90.00
loop_
_atom_site_label
_atom_site_fract_x
_atom_site_fract_y
_atom_site_fract_z
Cs1 0.000 0.002 0.250
Te1 0.000 0.500 0.000
Pt1 0.250 0.250 0.000
# - Calculated density: 5.78 g/cm³
# - ΔE_f (raw): -0.33 eV per atom
# - DFT total energy: -44.1 eV per cell
# - Calculated volume: 43.62 Å³ per atom